ThCoSe2 | GGA-PBE | optimized geometry

Geometry as extended XYZ:
```
4
Lattice="-3.457 -0.715 -0.702 -1.052 -3.391 -0.595 -2.948 -2.344 7.682" Properties=species:S:1:pos:R:3 pbc="T T T"
Th 0.000 0.000 0.000
Se -2.439 -2.000 4.822
Se -5.018 -4.450 1.564
Co -3.728 -3.225 3.193
```

## Properties
ρ: 8.00 Mg/m³
symmetry: No. 166
crystal system: trigonal
formation energy (no corrections): -260.5 meV per atom

Cd2SbAs | GGA-PBE | optimized geometry

Geometry as extended XYZ:
```
4
Lattice="6.574 0.014 0.005 3.942 5.261 -0.005 -5.048 -3.057 2.897" Properties=species:S:1:pos:R:3 pbc="T T T"
Cd 0.489 0.245 0.000
Cd 3.127 -0.336 1.451
Sb 4.772 2.393 0.000
As 2.340 2.553 1.446
```

## Properties
energy relative to the lowest polymorph listed for this composition: 6.5 kJ per mole of atoms
ρ: 7.00 Mg/m³
symmetry: No. 44
crystal system: orthorhombic
formation energy (no corrections): 102.0 meV per atom

PmAgHg6 | GGA-PBE | optimized geometry

Geometry as extended XYZ:
```
8
Lattice="5.003 0.000 0.000 0.000 6.584 0.129 0.000 -2.799 5.961" Properties=species:S:1:pos:R:3 pbc="T T T"
Hg 0.000 2.944 2.391
Hg 2.502 4.045 3.559
Hg 2.502 2.384 0.887
Hg 0.000 1.565 5.245
Hg 2.502 5.778 0.630
Hg 0.000 -0.225 2.365
Pm 0.000 -1.714 5.287
Ag 2.502 0.360 3.997
```

## Properties
final energy: -10.5 eV per cell
ρ: 12.20 Mg/m³
symmetry: No. 38
crystal system: orthorhombic